Nd2Zn2Ir: optimized geometry, GGA-PBE.

Values from the calculation:
Energy above the most stable polymorph in this dataset   5 meV/atom
Final energy   -46.70 eV per cell
Energy of formation from the pure elements   -0.48 eV/atom
Space-group type   C2/m

abc: 5.971 5.971 11.716
angles: 115.29 115.29 39.52
Fractional coordinates of all 10 atoms:
Nd 0.071 0.071 0.361
Nd 0.207 0.207 0.119
Nd 0.793 0.793 0.881
Nd 0.929 0.929 0.639
Zn 0.378 0.378 0.416
Zn 0.489 0.489 0.114
Zn 0.511 0.511 0.886
Zn 0.622 0.622 0.584
Ir 0.272 0.272 0.692
Ir 0.728 0.728 0.308

Nd3ZnIr3: optimized geometry, GGA-PBE.

Values from the calculation:
Final energy   -93.31 eV per cell
Energy of formation from the pure elements   -0.64 eV/atom
Space-group type   Cmcm

abc: 5.651 5.651 13.996
angles: 90.00 90.00 135.58
Fractional coordinates of all 14 atoms:
Nd 0.012 0.988 0.750
Nd 0.296 0.704 0.604
Nd 0.296 0.704 0.896
Nd 0.704 0.296 0.104
Nd 0.704 0.296 0.396
Nd 0.988 0.012 0.250
Zn 0.000 0.000 0.000
Zn 0.000 0.000 0.500
Ir 0.273 0.727 0.250
Ir 0.415 0.585 0.089
Ir 0.415 0.585 0.411
Ir 0.585 0.415 0.589
Ir 0.585 0.415 0.911
Ir 0.727 0.273 0.750

Nd8ZnIr2: optimized geometry, GGA-PBE.

Values from the calculation:
Final energy   -59.83 eV per cell
Energy of formation from the pure elements   -0.25 eV/atom
Space-group type   Cm

abc: 7.810 7.810 6.110
angles: 97.59 97.59 112.60
Fractional coordinates of all 11 atoms:
Nd 0.000 0.000 0.000
Nd 0.024 0.292 0.582
Nd 0.120 0.595 0.200
Nd 0.292 0.024 0.582
Nd 0.432 0.696 0.808
Nd 0.595 0.120 0.200
Nd 0.696 0.432 0.808
Nd 0.737 0.737 0.407
Zn 0.363 0.363 0.314
Ir 0.049 0.674 0.700
Ir 0.674 0.049 0.700

Nd4ZnIr2: optimized geometry, GGA-PBE.

Values from the calculation:
Final energy   -82.46 eV per cell
Energy of formation from the pure elements   -0.45 eV/atom
Space-group type   P1

abc: 7.789 7.793 7.805
angles: 108.94 108.93 110.45
Fractional coordinates of all 14 atoms:
Nd 0.000 0.000 0.000
Nd 0.000 0.000 0.500
Nd 0.134 0.635 0.269
Nd 0.396 0.531 0.634
Nd 0.531 0.895 0.132
Nd 0.532 0.396 0.135
Nd 0.635 0.134 0.768
Nd 0.896 0.531 0.633
Zn 0.141 0.391 0.885
Zn 0.391 0.140 0.384
Ir 0.265 0.902 0.770
Ir 0.629 0.765 0.497
Ir 0.765 0.628 0.996
Ir 0.901 0.265 0.270

NdZrZnIr2: optimized geometry, GGA-PBE.

Values from the calculation:
Final energy   -71.02 eV per cell
Energy of formation from the pure elements   -0.64 eV/atom
Space-group type   I-4m2

abc: 4.138 4.138 12.010
angles: 90.00 90.00 90.00
Fractional coordinates of all 10 atoms:
Nd 0.000 0.000 0.000
Nd 0.500 0.500 0.500
Zr 0.000 0.500 0.750
Zr 0.500 0.000 0.250
Zn 0.000 0.500 0.250
Zn 0.500 0.000 0.750
Ir 0.000 0.000 0.392
Ir 0.000 0.000 0.608
Ir 0.500 0.500 0.108
Ir 0.500 0.500 0.892

Nd5ZrIr4: optimized geometry, GGA-PBE.

Values from the calculation:
Final energy   -73.57 eV per cell
Energy of formation from the pure elements   -0.57 eV/atom
Space-group type   C2/m

abc: 8.202 8.202 7.127
angles: 99.27 99.27 32.86
Fractional coordinates of all 10 atoms:
Nd 0.000 0.000 0.000
Nd 0.333 0.333 0.952
Nd 0.335 0.335 0.453
Nd 0.665 0.665 0.547
Nd 0.667 0.667 0.048
Zr 0.000 0.000 0.500
Ir 0.148 0.148 0.779
Ir 0.497 0.497 0.722
Ir 0.503 0.503 0.278
Ir 0.852 0.852 0.221

NdZrIr: optimized geometry, GGA-PBE.

Values from the calculation:
Final energy   -96.43 eV per cell
Energy of formation from the pure elements   -0.64 eV/atom
Space-group type   C2/m

abc: 6.603 6.604 6.779
angles: 90.00 90.08 90.00
Fractional coordinates of all 12 atoms:
Nd 0.250 0.000 0.130
Nd 0.250 0.500 0.870
Nd 0.750 0.000 0.870
Nd 0.750 0.500 0.130
Zr 0.000 0.250 0.500
Zr 0.000 0.750 0.500
Zr 0.500 0.250 0.500
Zr 0.500 0.750 0.500
Ir 0.250 0.000 0.704
Ir 0.250 0.500 0.296
Ir 0.750 0.000 0.296
Ir 0.750 0.500 0.704

NdZrIr2: optimized geometry, GGA-PBE.

Values from the calculation:
Energy above the most stable polymorph in this dataset   123 meV/atom
Final energy   -133.15 eV per cell
Energy of formation from the pure elements   -0.56 eV/atom
Space-group type   Fm-3m

abc: 6.849 6.849 6.849
angles: 90.00 90.00 90.00
Fractional coordinates of all 16 atoms:
Nd 0.000 0.000 0.000
Nd 0.000 0.500 0.500
Nd 0.500 0.000 0.500
Nd 0.500 0.500 0.000
Zr 0.000 0.000 0.500
Zr 0.000 0.500 0.000
Zr 0.500 0.000 0.000
Zr 0.500 0.500 0.500
Ir 0.250 0.250 0.250
Ir 0.250 0.250 0.750
Ir 0.250 0.750 0.250
Ir 0.250 0.750 0.750
Ir 0.750 0.250 0.250
Ir 0.750 0.250 0.750
Ir 0.750 0.750 0.250
Ir 0.750 0.750 0.750

NdZrIr2: optimized geometry, GGA-PBE.

Values from the calculation:
Energy above the most stable polymorph in this dataset   0 meV/atom
Final energy   -33.78 eV per cell
Energy of formation from the pure elements   -0.69 eV/atom
Space-group type   P4/mmm

abc: 3.377 3.377 7.087
angles: 90.00 90.00 90.00
Fractional coordinates of all 4 atoms:
Nd 0.000 0.000 0.000
Zr 0.000 0.000 0.500
Ir 0.500 0.500 0.285
Ir 0.500 0.500 0.715

NdZr2Ir2: optimized geometry, GGA-PBE.

Values from the calculation:
Final energy   -86.62 eV per cell
Energy of formation from the pure elements   -0.74 eV/atom
Space-group type   I4/mmm

abc: 4.549 4.549 11.021
angles: 90.00 90.00 90.00
Fractional coordinates of all 10 atoms:
Nd 0.000 0.000 0.000
Nd 0.500 0.500 0.500
Zr 0.000 0.500 0.250
Zr 0.000 0.500 0.750
Zr 0.500 0.000 0.250
Zr 0.500 0.000 0.750
Ir 0.000 0.000 0.383
Ir 0.000 0.000 0.617
Ir 0.500 0.500 0.117
Ir 0.500 0.500 0.883

NdZrIr4: optimized geometry, GGA-PBE.

Values from the calculation:
Final energy   -52.56 eV per cell
Energy of formation from the pure elements   -0.63 eV/atom
Space-group type   F-43m

abc: 5.348 5.348 5.348
angles: 60.00 60.00 60.00
Fractional coordinates of all 6 atoms:
Nd 0.000 0.000 0.000
Zr 0.250 0.250 0.250
Ir 0.125 0.625 0.625
Ir 0.625 0.125 0.625
Ir 0.625 0.625 0.125
Ir 0.625 0.625 0.625

Ni2Ir: optimized geometry, GGA-PBE.

Values from the calculation:
Energy above the most stable polymorph in this dataset   42 meV/atom
Final energy   -40.50 eV per cell
Energy of formation from the pure elements   0.06 eV/atom
Space-group type   I4/mmm

abc: 2.651 2.651 10.424
angles: 90.00 90.00 90.00
Fractional coordinates of all 6 atoms:
Ni 0.000 0.000 0.170
Ni 0.000 0.000 0.830
Ni 0.500 0.500 0.330
Ni 0.500 0.500 0.670
Ir 0.000 0.000 0.500
Ir 0.500 0.500 0.000